--- a ---
# Ba2Tl2Hg3 | the Alexandria database | PBE | relaxed
# **Total magnetization**: 0.00 μB per formula unit
# **Density**: 9.034 g/cm³
data_Ba2Tl2Hg3
_chemical_formula_sum 'Ba4 Tl4 Hg6'
_symmetry_space_group_name_H-M 'C 1 2/m 1'
_symmetry_Int_Tables_number 12
_cell_length_a 12.530
_cell_length_b 5.212
_cell_length_c 7.502
_cell_angle_alpha 90.00
_cell_angle_beta 105.36
_cell_angle_gamma 90.00
loop_
_symmetry_equiv_pos_as_xyz
'x,y,z'
'-x,-y,-z'
'-x,y,-z'
'x,-y,z'
'x+1/2,y+1/2,z'
'-x+1/2,-y+1/2,-z'
'-x+1/2,y+1/2,-z'
'x+1/2,-y+1/2,z'
loop_
_atom_site_label
_atom_site_type_symbol
_atom_site_fract_x
_atom_site_fract_y
_atom_site_fract_z
_atom_site_occupancy
Ba1 Ba 0.127 0.000 0.267 1
Tl1 Tl 0.179 0.000 0.775 1
Hg1 Hg 0.000 0.500 0.500 1
Hg2 Hg 0.098 0.500 0.921 1

***

--- b ---
# Ba2Tl2Hg3 | the Alexandria database | PBE | relaxed
# **Total magnetization**: 0.00 μB per formula unit
# **Density**: 8.518 g/cm³
data_Ba2Tl2Hg3
_chemical_formula_sum 'Ba8 Tl8 Hg12'
_symmetry_space_group_name_H-M 'I 21 3'
_symmetry_Int_Tables_number 199
_symmetry_space_group_name_Hall 'I 2b 2c 3'
_cell_length_a 10.007
_cell_length_b 10.007
_cell_length_c 10.007
_cell_angle_alpha 90.00
_cell_angle_beta 90.00
_cell_angle_gamma 90.00
loop_
_atom_site_label
_atom_site_type_symbol
_atom_site_fract_x
_atom_site_fract_y
_atom_site_fract_z
_atom_site_occupancy
Ba1 Ba 0.003 0.497 0.503 1
Tl1 Tl 0.201 0.299 0.701 1
Hg1 Hg 0.000 0.250 0.246 1

***

We find a to be the most stable, with the next structure 76 meV per atom higher.